Density functional theory data (PBE-GGA) for a relaxed Cs3AlF crystal.

Results
For the uncorrected formation energy, the calculation gives -0.298 eV/atom. As for the spin magnetization: 0.00 μB/cell.

Cell: 7.0931 7.0931 7.0931 Å, 90.00 90.00 90.00°
Space group Pm-3m (No. 221)
Inequivalent atoms, fractional coordinates:
1 Cs 0.0000 0.0000 0.5000 (multiplicity 3)
2 Al 0.0000 0.0000 0.0000 (multiplicity 1)
3 F 0.5000 0.5000 0.5000 (multiplicity 1)

Density functional theory data (PBE-GGA) for a relaxed TaGeS3 crystal.

Results
For the uncorrected formation energy, the calculation gives -0.414 eV/atom. As for the spin magnetization: 0.00 μB/cell.

Cell: 3.6886 21.5996 6.6499 Å, 90.00 90.00 90.00°
Space group Cmc2_1 (No. 36)
Inequivalent atoms, fractional coordinates:
1 Ta 0.0000 0.1155 0.0000 (multiplicity 4)
2 Ge 0.0000 0.3435 0.9391 (multiplicity 4)
3 S 0.0000 0.1086 0.6482 (multiplicity 4)
4 S 0.0000 0.2095 0.1349 (multiplicity 4)
5 S 0.0000 0.4309 0.6742 (multiplicity 4)

Density functional theory data (PBE-GGA) for a relaxed Sc2PPdS crystal.

Results
For the uncorrected formation energy, the calculation gives -0.303 eV/atom. As for the spin magnetization: 0.00 μB/cell.

Cell: 5.1652 5.1652 4.2577 Å, 90.00 90.00 90.00°
Space group P4/mmm (No. 123)
Inequivalent atoms, fractional coordinates:
1 Sc 0.0000 0.5000 0.0000 (multiplicity 2)
2 P 0.0000 0.0000 0.5000 (multiplicity 1)
3 Pd 0.0000 0.0000 0.0000 (multiplicity 1)
4 S 0.5000 0.5000 0.5000 (multiplicity 1)

Density functional theory data (PBE-GGA) for a relaxed HoTm6In crystal.

Results
As for the spin magnetization: 0.00 μB/cell. The calculation puts the energy of formation at 0.058 eV per atom.

Cell: 6.4672 11.3179 6.4427 Å, 90.00 90.04 90.00°
Space group C2/m (No. 12)
Inequivalent atoms, fractional coordinates:
1 Ho 0.0000 0.0000 0.0000 (multiplicity 2)
2 Tm 0.0603 0.5000 0.7491 (multiplicity 4)
3 Tm 0.2101 0.2182 0.7494 (multiplicity 8)
4 In 0.0000 0.0000 0.5000 (multiplicity 2)